# 1
A relaxed Sc3TiO crystal. Source: Alexandria via LeMat-Bulk, functional PBE-GGA.

Cell lengths 4.900, 4.900, 4.900 Å; angles 90.00, 90.00, 90.00 degrees
Positions (direct):
Sc: 0.000 0.500 0.000
Sc: 0.000 0.000 0.500
Sc: 0.500 0.000 0.000
O: 0.500 0.500 0.500
Ti: 0.000 0.000 0.000

The energy above the lowest structure with this stoichiometry is 1939 meV per atom.


# 2
A relaxed ScTi2O5 crystal. Source: Alexandria via LeMat-Bulk, functional PBE-GGA.

Cell lengths 5.301, 7.239, 10.136 Å; angles 111.02, 90.00, 90.00 degrees
Positions (direct):
Sc: 0.500 0.000 0.500
Sc: 0.000 0.000 0.000
Sc: 0.500 0.500 0.500
Sc: 0.000 0.500 0.000
Ti: 0.498 0.087 0.871
Ti: 0.002 0.087 0.371
Ti: 0.002 0.413 0.629
Ti: 0.498 0.413 0.129
Ti: 0.502 0.587 0.871
Ti: 0.998 0.587 0.371
Ti: 0.998 0.913 0.629
Ti: 0.502 0.913 0.129
O: 0.329 0.030 0.697
O: 0.850 0.138 0.581
O: 0.171 0.030 0.197
O: 0.650 0.362 0.919
O: 0.292 0.250 0.500
O: 0.650 0.138 0.081
O: 0.171 0.470 0.803
O: 0.850 0.362 0.419
O: 0.208 0.250 0.000
O: 0.671 0.530 0.697
O: 0.329 0.470 0.303
O: 0.792 0.750 0.000
O: 0.150 0.638 0.581
O: 0.829 0.530 0.197
O: 0.350 0.862 0.919
O: 0.708 0.750 0.500
O: 0.350 0.638 0.081
O: 0.829 0.970 0.803
O: 0.150 0.862 0.419
O: 0.671 0.970 0.303


# 3
A relaxed Sc2TiO crystal. Source: Alexandria via LeMat-Bulk, functional PBE-GGA.

Cell lengths 8.187, 8.187, 8.187 Å; angles 21.92, 21.92, 21.92 degrees
Last column: magnetic moment on the atom in μB.
Positions (direct):
Sc: 0.887 0.887 0.887  0.05
Sc: 0.113 0.113 0.113  0.05
O: 0.500 0.500 0.500  0.00
Ti: 0.000 0.000 0.000  1.05


Which raw total energy belongs to each record? In order, -27.632; -287.874; -30.350 eV per cell.
Which ΔE_f (raw) belongs to each record? In order, 19.4; -72.2; -27.9 kcal/mol of atoms.